This record from Alexandria via LeMat-Bulk describes a geometry-optimized Li5Mg2Cd4 structure. The functional is PBE.

```
data_Li5Mg2Cd4
_chemical_formula_sum 'Li10 Mg4 Cd8'
_cell_length_a 3.125
_cell_length_b 7.602
_cell_length_c 18.075
_cell_angle_alpha 90.00
_cell_angle_beta 90.00
_cell_angle_gamma 90.00
_space_group_name_H-M_alt 'P 1'
_space_group_IT_number 1
_space_group_name_Hall 'P 1'
loop_
_atom_site_label
_atom_site_type_symbol
_atom_site_fract_x
_atom_site_fract_y
_atom_site_fract_z
Li1 Li 0.000 0.500 0.000
Li2 Li 0.000 0.000 0.500
Li3 Li 0.000 0.289 0.185
Li4 Li 0.000 0.711 0.815
Li5 Li 0.000 0.789 0.315
Li6 Li 0.000 0.211 0.685
Li7 Li 0.000 0.373 0.434
Li8 Li 0.000 0.627 0.566
Li9 Li 0.000 0.873 0.066
Li10 Li 0.000 0.127 0.934
Mg1 Mg 0.500 0.464 0.300
Mg2 Mg 0.500 0.536 0.700
Mg3 Mg 0.500 0.964 0.200
Mg4 Mg 0.500 0.036 0.800
Cd1 Cd 0.500 0.298 0.561
Cd2 Cd 0.500 0.702 0.439
Cd3 Cd 0.500 0.798 0.939
Cd4 Cd 0.500 0.202 0.061
Cd5 Cd 0.500 0.407 0.859
Cd6 Cd 0.500 0.593 0.141
Cd7 Cd 0.500 0.907 0.641
Cd8 Cd 0.500 0.093 0.359
```

Computed properties:
- formation energy from the elements (eV/atom) = -0.16
- magnetic moment (μB/cell) = 0.00
- polymorph energy (0 for the lowest one) (eV per atom) = 0.000